Record 1
# Al2FeAu

A PBEsol-optimized structure of Al2FeAu (SCAN, the Alexandria database).

Structure (CIF):
```
data_Al2FeAu
_chemical_formula_sum 'Al8 Fe4 Au4'
_symmetry_space_group_name_H-M 'F m -3 m'
_symmetry_Int_Tables_number 225
_symmetry_space_group_name_Hall '-F 4 2 3'
_cell_length_a 6.0192
_cell_length_b 6.0192
_cell_length_c 6.0192
_cell_angle_alpha 90.00
_cell_angle_beta 90.00
_cell_angle_gamma 90.00
loop_
_atom_site_label
_atom_site_type_symbol
_atom_site_fract_x
_atom_site_fract_y
_atom_site_fract_z
Al1 Al 0.2500 0.2500 0.2500
Fe1 Fe 0.0000 0.0000 0.0000
Au1 Au 0.0000 0.0000 0.5000
```

Summary:
E_tot = -26.20 eV per atom
V = 13.6 Å³ per atom
Energy of formation from the pure elements = -507 meV/atom

---

Record 2
# AlFe2Au

A PBEsol-optimized structure of AlFe2Au (SCAN, the Alexandria database).

Structure (CIF):
```
data_AlFe2Au
_chemical_formula_sum 'Al1 Fe2 Au1'
_symmetry_space_group_name_H-M 'P 4/m m m'
_symmetry_Int_Tables_number 123
_symmetry_space_group_name_Hall '-P 4 2'
_cell_length_a 3.6470
_cell_length_b 3.6470
_cell_length_c 3.9602
_cell_angle_alpha 90.00
_cell_angle_beta 90.00
_cell_angle_gamma 90.00
loop_
_atom_site_label
_atom_site_type_symbol
_atom_site_fract_x
_atom_site_fract_y
_atom_site_fract_z
Al1 Al 0.0000 0.0000 0.0000
Fe1 Fe 0.0000 0.5000 0.5000
Au1 Au 0.5000 0.5000 0.0000
```

Summary:
E_tot = -28.61 eV per atom
V = 13.2 Å³ per atom
Energy of formation from the pure elements = -320 meV/atom

---

Record 3
# AlFe4Au

A PBEsol-optimized structure of AlFe4Au (SCAN, the Alexandria database).

Structure (CIF):
```
data_AlFe4Au
_chemical_formula_sum 'Al4 Fe16 Au4'
_symmetry_space_group_name_H-M 'F -4 3 m'
_symmetry_Int_Tables_number 216
_symmetry_space_group_name_Hall 'F -4 2 3'
_cell_length_a 6.6696
_cell_length_b 6.6696
_cell_length_c 6.6696
_cell_angle_alpha 90.00
_cell_angle_beta 90.00
_cell_angle_gamma 90.00
loop_
_atom_site_label
_atom_site_type_symbol
_atom_site_fract_x
_atom_site_fract_y
_atom_site_fract_z
Al1 Al 0.0000 0.0000 0.0000
Fe1 Fe 0.1255 0.1255 0.3745
Au1 Au 0.2500 0.2500 0.7500
```

Summary:
E_tot = -24.94 eV per atom
V = 12.4 Å³ per atom
Energy of formation from the pure elements = -34 meV/atom

---

Record 4
# AlFe2Au

A PBEsol-optimized structure of AlFe2Au (SCAN, the Alexandria database).

Structure (CIF):
```
data_AlFe2Au
_chemical_formula_sum 'Al2 Fe4 Au2'
_symmetry_space_group_name_H-M 'I 4/m m m'
_symmetry_Int_Tables_number 139
_symmetry_space_group_name_Hall '-I 4 2'
_cell_length_a 3.6549
_cell_length_b 3.6549
_cell_length_c 7.9285
_cell_angle_alpha 90.00
_cell_angle_beta 90.00
_cell_angle_gamma 90.00
loop_
_atom_site_label
_atom_site_type_symbol
_atom_site_fract_x
_atom_site_fract_y
_atom_site_fract_z
Al1 Al 0.0000 0.0000 0.0000
Fe1 Fe 0.0000 0.5000 0.2500
Au1 Au 0.0000 0.0000 0.5000
```

Summary:
E_tot = -28.63 eV per atom
V = 13.2 Å³ per atom
Energy of formation from the pure elements = -337 meV/atom

---

- energy of formation from the pure elements of number 2 (AlFe2Au)?
  -320 meV/atom